{
  "formula": "Al2Pb3Au9",
  "functional": "PBE-GGA",
  "state": "relaxed",
  "cell": [[-5.097, 4.025, 0.266], [-0.822, -6.165, -1.890], [-1.389, -2.293, 8.081]],
  "species": ["Al", "Al", "Pb", "Pb", "Pb", "Au", "Au", "Au", "Au", "Au", "Au", "Au", "Au", "Au"],
  "frac_coords": [[0.667, 0.333, 0.206], [0.333, 0.667, 0.794], [0.667, 0.333, 0.683], [0.000, 0.000, 0.000], [0.333, 0.667, 0.317], [0.148, 0.852, 0.640], [0.148, 0.296, 0.640], [0.500, 0.500, 0.000], [0.852, 0.704, 0.360], [0.296, 0.148, 0.360], [0.704, 0.852, 0.640], [0.852, 0.148, 0.360], [0.000, 0.500, 0.000], [0.500, 0.000, 0.000]],
  "delta_e_f_ev_per_fu": -1.1,
  "n_ef_per_ev_cell": 3.96
}